## Tl2HgPt (GGA-PBEsol)

Data for Tl2HgPt after structural relaxation.

Cell: 5.3068 5.3068 6.0536 Å, 123.79 123.79 43.13°
Fractional coordinates of all 4 atoms:
Tl 0.0000 0.0000 0.0000
Tl 0.1791 0.1791 0.6329
Hg 0.7901 0.7901 0.2233
Pt 0.4767 0.4767 0.6465

Results
As for the volume: 93.42 Å³ per cell. The energy of formation is 2.9 kJ/mol of atoms.